1.
VASP calculation (PBE) on Nd2ErAl2 after structural relaxation.

a = 4.9219 Å, b = 5.8383 Å, c = 5.8383 Å
α = 71.20°, β = 65.07°, γ = 65.07°
Closest atoms and distances in Å follow each position.
Positions (direct):
Er  0.0000  0.0000  0.0000  4 Al 3.20, 4 Nd 3.48
Nd  0.1977  0.3023  0.3023  6 Al 3.20-3.23, 1 Nd 3.21, 2 Er 3.48
Nd  0.8023  0.6977  0.6977  6 Al 3.20-3.23, 1 Nd 3.21, 2 Er 3.48
Al  0.5000  0.3011  0.6989  1 Al 2.70
Al  0.5000  0.6989  0.3011  1 Al 2.70

## Properties
Spin magnetization = 0.00 μB per cell
Formation energy = -1.54 eV/f.u.
DOS(E_F) = 4.42 states/eV/cell

2.
VASP calculation (PBE) on Nd4ErAl after structural relaxation.

a = 6.3810 Å, b = 9.1304 Å, c = 8.3736 Å
α = 113.73°, β = 100.19°, γ = 111.99°
Closest atoms and distances in Å follow each position.
Positions (direct):
Al  0.2499  0.9999  0.9998  8 Nd 3.16-3.30, 2 Al 3.19
Al  0.7501  0.0001  0.0002  8 Nd 3.16-3.30, 2 Al 3.19
Nd  0.9557  0.8303  0.2244  2 Al 3.26-3.30, 3 Nd 3.39-3.65, 2 Er 3.42-3.57
Nd  0.6315  0.0835  0.3678  2 Al 3.16-3.17, 3 Nd 3.39-3.51
Nd  0.7637  0.7157  0.6322  2 Al 3.16-3.17, 3 Nd 3.39-3.51
Nd  0.7686  0.3941  0.2244  2 Al 3.26-3.30, 3 Nd 3.39-3.65, 2 Er 3.42-3.57
Nd  0.2363  0.2843  0.3678  2 Al 3.16-3.17, 3 Nd 3.39-3.51
Nd  0.2314  0.6059  0.7756  2 Al 3.26-3.30, 3 Nd 3.39-3.65, 2 Er 3.42-3.57
Nd  0.0443  0.1697  0.7756  2 Al 3.26-3.30, 3 Nd 3.39-3.65, 2 Er 3.42-3.57
Nd  0.3685  0.9165  0.6322  2 Al 3.16-3.17, 3 Nd 3.39-3.51
Er  0.6586  0.4086  0.8173  10 Nd 3.42-3.83
Er  0.3414  0.5914  0.1827  10 Nd 3.42-3.83

## Properties
Relative energy among the computed polymorphs = 0.070 eV per atom
Spin magnetization = 0.00 μB per cell
Formation energy = -0.14 eV/f.u.
DOS(E_F) = 16.31 states/eV/cell

3.
VASP calculation (PBE) on Nd4Er2Al after structural relaxation.

a = 3.6584 Å, b = 3.6584 Å, c = 19.5404 Å
α = 84.63°, β = 84.63°, γ = 60.00°
Closest atoms and distances in Å follow each position.
Positions (direct):
Nd  0.7065  0.7065  0.8804  3 Al 3.14
Nd  0.0939  0.0939  0.7183  3 Er 3.55, 9 Nd 3.66-3.79
Nd  0.9061  0.9061  0.2817  3 Er 3.55, 9 Nd 3.66-3.79
Nd  0.2935  0.2935  0.1196  3 Al 3.14
Er  0.1904  0.1904  0.4287  9 Er 3.48-3.66, 3 Nd 3.55
Er  0.8096  0.8096  0.5713  9 Er 3.48-3.66, 3 Nd 3.55
Al  0.0000  0.0000  0.0000  6 Nd 3.14

## Properties
Spin magnetization = 0.00 μB per cell
Formation energy = -0.11 eV/f.u.
DOS(E_F) = 9.80 states/eV/cell

4.
VASP calculation (PBE) on Nd2Er3Al4 after structural relaxation.

a = 6.3097 Å, b = 7.7644 Å, c = 10.1393 Å
α = 90.00°, β = 108.13°, γ = 90.00°
Closest atoms and distances in Å follow each position.
Positions (direct):
Er  0.5010  0.7500  0.5020  5 Al 3.10-3.15, 2 Er 3.15
Er  0.4990  0.2500  0.4980  5 Al 3.10-3.15, 2 Er 3.15
Er  0.0010  0.7500  0.5020  5 Al 3.10-3.15, 2 Er 3.15
Er  0.5000  0.5000  0.0000  6 Al 2.95-2.99
Er  0.0000  0.0000  0.0000  6 Al 2.95-2.99
Er  0.9990  0.2500  0.4980  5 Al 3.10-3.15, 2 Er 3.15
Al  0.3467  0.4944  0.6934  2 Al 2.85, 5 Er 2.95-3.14
Al  0.1646  0.7500  0.8293  4 Al 2.85-3.15, 3 Er 2.99-3.15, 2 Nd 3.16
Al  0.6646  0.7500  0.8293  4 Al 2.85-3.15, 3 Er 2.99-3.15, 2 Nd 3.16
Al  0.3354  0.2500  0.1707  4 Al 2.85-3.15, 3 Er 2.99-3.15, 2 Nd 3.16
Al  0.6533  0.5056  0.3066  2 Al 2.85, 5 Er 2.95-3.14
Al  0.1533  0.9944  0.3066  2 Al 2.85, 5 Er 2.95-3.14
Al  0.8467  0.0056  0.6934  2 Al 2.85, 5 Er 2.95-3.14
Al  0.8354  0.2500  0.1707  4 Al 2.85-3.15, 3 Er 2.99-3.15, 2 Nd 3.16
Nd  0.9115  0.3982  0.8231  5 Al 3.16-3.47, 1 Er 3.53
Nd  0.0885  0.6018  0.1769  5 Al 3.16-3.47, 1 Er 3.53
Nd  0.4115  0.1018  0.8231  5 Al 3.16-3.47, 1 Er 3.53
Nd  0.5885  0.8982  0.1769  5 Al 3.16-3.47, 1 Er 3.53

## Properties
Spin magnetization = 0.00 μB per cell
Formation energy = -1.89 eV/f.u.
DOS(E_F) = 19.40 states/eV/cell

5.
VASP calculation (PBE) on Nd14ErAl after structural relaxation.

a = 7.2303 Å, b = 7.2303 Å, c = 10.2423 Å
α = 90.00°, β = 90.00°, γ = 90.01°
Closest atoms and distances in Å follow each position.
Positions (direct):
Nd  0.3749  0.6251  0.5000  12 Nd 3.61-3.72
Nd  0.1201  0.8799  0.7594  1 Al 3.52, 10 Nd 3.55-3.72, 1 Er 3.59
Nd  0.8741  0.6233  0.0000  8 Nd 3.55-3.56, 2 Al 3.60-3.63, 2 Er 3.61-3.62
Nd  0.1204  0.3703  0.7585  1 Al 3.52, 10 Nd 3.55-3.71, 1 Er 3.59
Nd  0.8750  0.1250  0.5000  12 Nd 3.61-3.65
Nd  0.3767  0.1259  0.0000  8 Nd 3.55-3.56, 2 Al 3.60-3.63, 2 Er 3.61-3.62
Nd  0.6297  0.3703  0.2425  1 Al 3.53, 10 Nd 3.55-3.71, 1 Er 3.60
Nd  0.8758  0.6258  0.5000  12 Nd 3.61-3.68
Nd  0.6297  0.8796  0.7585  1 Al 3.52, 10 Nd 3.55-3.71, 1 Er 3.59
Nd  0.3742  0.1242  0.5000  12 Nd 3.61-3.68
Nd  0.6297  0.8796  0.2415  1 Al 3.52, 10 Nd 3.55-3.71, 1 Er 3.59
Nd  0.6297  0.3703  0.7575  1 Al 3.53, 10 Nd 3.55-3.71, 1 Er 3.60
Nd  0.1204  0.3703  0.2415  1 Al 3.52, 10 Nd 3.55-3.71, 1 Er 3.59
Nd  0.1201  0.8799  0.2406  1 Al 3.52, 10 Nd 3.55-3.72, 1 Er 3.59
Er  0.3750  0.6250  0.0000  12 Nd 3.59-3.62
Al  0.8745  0.1255  0.0000  12 Nd 3.52-3.63

## Properties
Spin magnetization = 0.00 μB per cell
Formation energy = -0.12 eV/f.u.
DOS(E_F) = 20.83 states/eV/cell

6.
VASP calculation (PBE) on Nd2ErAl after structural relaxation.

a = 3.6658 Å, b = 3.6658 Å, c = 10.8552 Å
α = 80.28°, β = 80.28°, γ = 60.00°
Closest atoms and distances in Å follow each position.
Positions (direct):
Er  0.5001  0.5001  0.4996  6 Nd 3.65, 6 Er 3.67
Nd  0.2597  0.2597  0.2208  3 Al 3.16
Nd  0.0737  0.0737  0.7788  3 Al 3.17
Al  0.6664  0.6664  0.0007  6 Nd 3.16-3.17

## Properties
Relative energy among the computed polymorphs = 0.161 eV per atom
Spin magnetization = 0.71 μB per cell
Formation energy = -0.05 eV/f.u.
DOS(E_F) = 5.04 states/eV/cell

7.
VASP calculation (PBE) on Nd2Er4Al after structural relaxation.

a = 3.5949 Å, b = 3.5949 Å, c = 19.2170 Å
α = 84.63°, β = 84.63°, γ = 60.00°
Closest atoms and distances in Å follow each position.
Positions (direct):
Er  0.7055  0.7055  0.8835  3 Al 3.04
Er  0.2945  0.2945  0.1165  3 Al 3.04
Er  0.0886  0.0886  0.7341  9 Er 3.53-3.59, 3 Nd 3.56
Er  0.9114  0.9114  0.2659  9 Er 3.53-3.59, 3 Nd 3.56
Nd  0.8057  0.8057  0.5829  3 Er 3.56, 9 Nd 3.59-3.79
Nd  0.1943  0.1943  0.4171  3 Er 3.56, 9 Nd 3.59-3.79
Al  0.0000  0.0000  0.0000  6 Er 3.04

## Properties
Spin magnetization = 0.34 μB per cell
Formation energy = -0.21 eV/f.u.
DOS(E_F) = 10.62 states/eV/cell

8.
VASP calculation (PBE) on Nd3ErAl2 after structural relaxation.

a = 5.2131 Å, b = 6.6754 Å, c = 9.7533 Å
α = 90.00°, β = 90.00°, γ = 90.00°
Closest atoms and distances in Å follow each position.
Positions (direct):
Nd  0.0000  0.4743  0.9591  3 Al 3.22-3.27, 4 Nd 3.43-3.49
Nd  0.0000  0.3083  0.3319  5 Al 3.08-3.42
Nd  0.5000  0.6914  0.1794  5 Al 3.19-3.45, 1 Er 3.49, 2 Nd 3.49
Nd  0.0000  0.9743  0.0409  3 Al 3.22-3.27, 4 Nd 3.43-3.49
Nd  0.0000  0.8083  0.6681  5 Al 3.08-3.42
Nd  0.5000  0.1914  0.8206  5 Al 3.19-3.45, 1 Er 3.49, 2 Nd 3.49
Er  0.5000  0.0231  0.4558  3 Al 3.18-3.21, 3 Nd 3.45-3.49, 2 Er 3.45
Er  0.5000  0.5231  0.5442  3 Al 3.18-3.21, 3 Nd 3.45-3.49, 2 Er 3.45
Al  0.0000  0.2969  0.6472  6 Nd 3.08-3.42, 2 Er 3.18
Al  0.5000  0.7061  0.8490  1 Er 3.21, 7 Nd 3.22-3.45
Al  0.0000  0.7969  0.3528  6 Nd 3.08-3.42, 2 Er 3.18
Al  0.5000  0.2061  0.1510  1 Er 3.21, 7 Nd 3.22-3.45

## Properties
Spin magnetization = 0.00 μB per cell
Formation energy = -1.54 eV/f.u.
DOS(E_F) = 11.38 states/eV/cell